[1]
{"formula": "Na2TmZn3F12", "functional": "PBE", "state": "relaxed", "cell": [[3.746, 2.163, 6.045], [-3.746, 2.163, 6.045], [0.000, -4.325, 6.045]], "species": ["Na", "Na", "Tm", "Zn", "Zn", "Zn", "F", "F", "F", "F", "F", "F", "F", "F", "F", "F", "F", "F"], "frac_coords": [[0.208, 0.208, 0.208], [0.792, 0.792, 0.792], [0.500, 0.500, 0.500], [0.000, 0.500, 0.500], [0.500, 0.000, 0.500], [0.500, 0.500, 0.000], [0.152, 0.591, 0.591], [0.193, 0.193, 0.560], [0.193, 0.560, 0.193], [0.409, 0.409, 0.848], [0.409, 0.848, 0.409], [0.440, 0.807, 0.807], [0.560, 0.193, 0.193], [0.591, 0.152, 0.591], [0.591, 0.591, 0.152], [0.807, 0.440, 0.807], [0.807, 0.807, 0.440], [0.848, 0.409, 0.409]], "space_group": "R-3m (166)", "dos_at_fermi_per_ev_cell": 6.64, "total_energy_ev_per_atom": -4.5045, "formation_energy_uncorrected_mev_per_atom": -2650}


[2]
{"formula": "Na2TmZnF8", "functional": "PBE", "state": "relaxed", "cell": [[3.822, 0.000, 0.000], [0.402, 5.512, 0.000], [0.003, 0.013, 7.256]], "species": ["Na", "Na", "Tm", "Zn", "F", "F", "F", "F", "F", "F", "F", "F"], "frac_coords": [[0.000, 0.000, 0.241], [0.000, 0.000, 0.759], [0.500, 0.500, 0.500], [0.500, 0.500, 0.000], [0.003, 0.729, 0.500], [0.075, 0.720, 0.000], [0.459, 0.274, 0.756], [0.459, 0.276, 0.244], [0.541, 0.724, 0.756], [0.541, 0.726, 0.244], [0.925, 0.280, 0.000], [0.997, 0.271, 0.500]], "space_group": "P-1 (2)", "dos_at_fermi_per_ev_cell": 7.71, "total_energy_ev_per_atom": -4.7849, "formation_energy_uncorrected_mev_per_atom": -2839}


[3]
{"formula": "NaUF4", "functional": "PBE", "state": "relaxed", "cell": [[-2.934, 2.934, 2.660], [2.934, -2.934, 2.660], [2.934, 2.934, -2.660]], "species": ["Na", "U", "F", "F", "F", "F"], "frac_coords": [[0.000, 0.000, 0.000], [0.250, 0.750, 0.500], [0.202, 0.687, 0.964], [0.313, 0.278, 0.515], [0.722, 0.237, 0.036], [0.763, 0.798, 0.485]], "space_group": "I-4 (82)", "dos_at_fermi_per_ev_cell": 1.45, "total_energy_ev_per_atom": -6.2939, "formation_energy_uncorrected_mev_per_atom": -2945}


[4]
{"formula": "Na3UF8", "functional": "PBE", "state": "relaxed", "cell": [[-2.750, 2.750, 5.485], [2.750, -2.750, 5.485], [2.750, 2.750, -5.485]], "species": ["Na", "Na", "Na", "U", "F", "F", "F", "F", "F", "F", "F", "F"], "frac_coords": [[0.000, 0.000, 0.000], [0.250, 0.750, 0.500], [0.750, 0.250, 0.500], [0.500, 0.500, 0.000], [0.152, 0.152, 0.536], [0.152, 0.615, 0.000], [0.385, 0.385, 0.536], [0.385, 0.848, 0.000], [0.615, 0.152, 0.000], [0.615, 0.615, 0.464], [0.848, 0.385, 0.000], [0.848, 0.848, 0.464]], "space_group": "I4/mmm (139)", "dos_at_fermi_per_ev_cell": 8.60, "total_energy_ev_per_atom": -5.7123, "formation_energy_uncorrected_mev_per_atom": -3194}